# 1
First-principles (PBE) data for an optimized crystal structure of AgBPb, as listed in the Alexandria database.

Unit cell a=6.427 b=3.724 c=5.611 alpha=109.42 beta=102.28 gamma=89.98
Positions (direct):
Ag  0.211  0.297  0.475
Ag  0.952  0.633  0.147
Pb  0.724  0.348  0.578
Pb  0.393  0.035  0.949
B  0.966  0.999  0.880
B  0.029  0.861  0.604

* DOS at the Fermi energy: 2.8 states/eV/cell
* size of the total moment: 0.00 μB per cell
* calculated total energy: -0.2802 Ry per atom

***

# 2
First-principles (PBE) data for an optimized crystal structure of AgBPb, as listed in the Alexandria database.

Unit cell a=4.029 b=4.029 c=8.605 alpha=90.00 beta=90.00 gamma=120.00
Positions (direct):
Ag  0.000  0.000  0.000
Ag  0.000  0.000  0.500
Pb  0.667  0.333  0.250
Pb  0.333  0.667  0.750
B  0.333  0.667  0.250
B  0.667  0.333  0.750

* DOS at the Fermi energy: 1.1 states/eV/cell
* size of the total moment: 0.00 μB per cell
* calculated total energy: -0.2440 Ry per atom

***

# 3
First-principles (PBE) data for an optimized crystal structure of AgBPb3, as listed in the Alexandria database.

Unit cell a=5.083 b=5.083 c=5.083 alpha=90.00 beta=90.00 gamma=90.00
Positions (direct):
Pb  0.000  0.000  0.500
Pb  0.000  0.500  0.000
Pb  0.500  0.000  0.000
B  0.000  0.000  0.000
Ag  0.500  0.500  0.500

* polymorph energy (0 for the lowest one): 0 meV per atom
* DOS at the Fermi energy: 2.0 states/eV/cell
* size of the total moment: 0.00 μB per cell

***

# 4
First-principles (PBE) data for an optimized crystal structure of AgBPb, as listed in the Alexandria database.

Unit cell a=3.850 b=3.850 c=10.077 alpha=90.00 beta=90.00 gamma=120.00
Positions (direct):
B  0.000  0.000  0.750
B  0.000  0.000  0.250
Ag  0.333  0.667  0.250
Ag  0.667  0.333  0.750
Pb  0.000  0.000  0.000
Pb  0.000  0.000  0.500

* DOS at the Fermi energy: 4.4 states/eV/cell
* size of the total moment: 0.00 μB per cell
* calculated total energy: -0.2538 Ry per atom